The following is a meta-GGA SCAN calculation of a PBEsol-optimized structure of MgCdIn2, from Alexandria via LeMat-Bulk.

Results
Formation enthalpy at 0 K ... -0.205 eV per formula unit

abc: 5.3957 5.3957 5.4161
angles: 99.30 99.30 36.27
Closest atoms and distances in Å follow each position.
Positions (direct):
1 Mg 0.0000 0.0000 0.0000  6 In 3.10-3.16, 4 Cd 3.19, 2 Mg 3.36
2 Cd 0.5000 0.5000 0.5000  6 In 3.10-3.17, 4 Mg 3.19, 2 Cd 3.36
3 In 0.2504 0.2504 0.7513  3 Mg 3.10-3.16, 3 Cd 3.10-3.17, 6 In 3.18-3.36
4 In 0.7496 0.7496 0.2487  3 Mg 3.10-3.16, 3 Cd 3.10-3.17, 6 In 3.18-3.36

The following is a meta-GGA SCAN calculation of a PBEsol-optimized structure of MgCdIn2, from Alexandria via LeMat-Bulk.

Results
Formation enthalpy at 0 K ... -0.210 eV per formula unit

abc: 3.3235 4.3939 6.2740
angles: 90.00 90.00 90.00
Closest atoms and distances in Å follow each position.
Positions (direct):
1 Mg 0.0000 0.0000 0.0000  6 In 3.07-3.20, 4 Cd 3.14, 2 Mg 3.32
2 Cd 0.5000 0.5000 0.2389  6 In 3.04-3.23, 4 Mg 3.14, 2 Cd 3.32
3 In 0.0000 0.0000 0.4899  2 Mg 3.07-3.20, 4 Cd 3.17, 6 In 3.21-3.32
4 In 0.5000 0.5000 0.7538  2 Cd 3.04-3.23, 4 Mg 3.16, 6 In 3.21-3.32

The following is a meta-GGA SCAN calculation of a PBEsol-optimized structure of Mg2CdIn, from Alexandria via LeMat-Bulk.

Results
Formation enthalpy at 0 K ... -0.215 eV per formula unit

abc: 5.0095 5.0095 5.0095
angles: 60.00 60.00 60.00
Closest atoms and distances in Å follow each position.
Positions (direct):
1 Mg 0.0000 0.0000 0.0000  4 Cd 3.07, 4 Mg 3.07
2 Mg 0.2500 0.2500 0.2500  4 In 3.07, 4 Mg 3.07
3 Cd 0.7500 0.7500 0.7500  4 Mg 3.07, 4 In 3.07
4 In 0.5000 0.5000 0.5000  4 Cd 3.07, 4 Mg 3.07

The following is a meta-GGA SCAN calculation of a PBEsol-optimized structure of Mg2CdIn, from Alexandria via LeMat-Bulk.

Results
Formation enthalpy at 0 K ... -0.273 eV per formula unit

abc: 3.1834 3.1834 8.7911
angles: 90.00 90.00 90.00
Closest atoms and distances in Å follow each position.
Positions (direct):
1 Mg 0.0000 0.0000 0.0000  4 In 3.16, 8 Mg 3.18
2 Mg 0.5000 0.5000 0.2559  4 Cd 3.05, 8 Mg 3.18
3 Cd 0.0000 0.0000 0.4905  4 Mg 3.05, 4 Cd 3.18, 4 In 3.19
4 In 0.5000 0.5000 0.7472  4 Mg 3.16, 4 In 3.18, 4 Cd 3.19

The following is a meta-GGA SCAN calculation of a PBEsol-optimized structure of Mg2CdIn, from Alexandria via LeMat-Bulk.

Results
Formation enthalpy at 0 K ... -0.466 eV per formula unit

abc: 9.6915 9.6915 9.6915
angles: 19.50 19.50 19.50
Closest atoms and distances in Å follow each position.
Positions (direct):
1 Mg 0.2483 0.2483 0.2483  3 Cd 3.00, 3 In 3.08, 6 Mg 3.28
2 Mg 0.7517 0.7517 0.7517  3 Cd 3.00, 3 In 3.08, 6 Mg 3.28
3 Cd 0.5000 0.5000 0.5000  6 Mg 3.00, 6 Cd 3.28
4 In 0.0000 0.0000 0.0000  6 Mg 3.08, 6 In 3.28

The following is a meta-GGA SCAN calculation of a PBEsol-optimized structure of MgCdIn2, from Alexandria via LeMat-Bulk.

Results
Formation enthalpy at 0 K ... -0.216 eV per formula unit

abc: 3.2376 3.2376 8.7308
angles: 90.00 90.00 90.14
Closest atoms and distances in Å follow each position.
Positions (direct):
1 Mg 0.0000 0.0000 0.0000  8 In 3.15, 4 Mg 3.24
2 Cd 0.0000 0.0000 0.5000  8 In 3.17-3.18, 4 Cd 3.24
3 In 0.5000 0.5000 0.2478  4 Mg 3.15, 4 Cd 3.17-3.18, 4 In 3.24
4 In 0.5000 0.5000 0.7522  4 Mg 3.15, 4 Cd 3.17-3.18, 4 In 3.24

The following is a meta-GGA SCAN calculation of a PBEsol-optimized structure of Mg6CdIn, from Alexandria via LeMat-Bulk.

Results
Formation enthalpy at 0 K ... -1.067 eV per formula unit

abc: 6.2945 6.2945 5.0390
angles: 90.00 90.00 120.00
Closest atoms and distances in Å follow each position.
Positions (direct):
1 Mg 0.0004 0.5002 0.0000  2 In 3.11, 8 Mg 3.11-3.15, 2 Cd 3.15
2 Mg 0.1646 0.3293 0.5000  2 Cd 3.09, 8 Mg 3.11-3.19, 2 In 3.15
3 Mg 0.1646 0.8354 0.5000  2 Cd 3.09, 8 Mg 3.11-3.19, 2 In 3.15
4 Mg 0.4998 0.9996 0.0000  2 In 3.11, 8 Mg 3.11-3.15, 2 Cd 3.15
5 Mg 0.4998 0.5002 0.0000  2 In 3.11, 8 Mg 3.11-3.15, 2 Cd 3.15
6 Mg 0.6707 0.8354 0.5000  2 Cd 3.09, 8 Mg 3.11-3.19, 2 In 3.15
7 Cd 0.0000 0.0000 0.0000  12 Mg 3.09-3.15
8 In 0.6667 0.3333 0.5000  12 Mg 3.11-3.15

The following is a meta-GGA SCAN calculation of a PBEsol-optimized structure of Mg2CdIn, from Alexandria via LeMat-Bulk.

Results
Formation enthalpy at 0 K ... -0.661 eV per formula unit

abc: 3.1914 5.1585 5.2496
angles: 90.00 90.00 90.00
Closest atoms and distances in Å follow each position.
Positions (direct):
1 Mg 0.0000 0.0000 0.0000  4 In 3.06-3.08, 4 Cd 3.11, 4 Mg 3.19-3.23
2 Mg 0.0000 0.5000 0.3690  4 Cd 3.06-3.09, 4 In 3.11, 4 Mg 3.19-3.23
3 Cd 0.5000 0.5000 0.8725  8 Mg 3.06-3.11, 2 Cd 3.19, 2 In 3.23
4 In 0.5000 0.0000 0.5024  8 Mg 3.06-3.11, 2 In 3.19, 2 Cd 3.23